Material: CaGaHRh2
Method: DFT, GGA-PBE
State: relaxed

**M_tot**: 0.00 μB per atom
**Electronic total energy**: -25.80 eV/f.u.
**SG**: Cmcm
**V**: 15.24 A^3/atom

Unit cell a=3.8100 b=5.8879 c=7.1782 alpha=90.00 beta=90.00 gamma=108.88
Closest atoms and distances in Å follow each position.
Atoms (fractional coordinates):
Ca 0.4492 0.8983 0.7500  4 H 2.68
Ca 0.5508 0.1017 0.2500  4 H 2.68
Ga 0.7211 0.4422 0.7500  6 Rh 2.52
Ga 0.2789 0.5578 0.2500  6 Rh 2.52
H 0.0000 0.0000 0.0000  2 Rh 1.76
H 0.0000 0.0000 0.5000  2 Rh 1.76
Rh 0.1552 0.3104 0.9553  1 H 1.76
Rh 0.8448 0.6896 0.0447  1 H 1.76
Rh 0.1552 0.3104 0.5447  1 H 1.76
Rh 0.8448 0.6896 0.4553  1 H 1.76

Material: PuFe4P2
Method: DFT, GGA-PBE
State: relaxed

**Excess energy over the best structure of this formula in the dataset**: 0.0000 eV per atom
**ΔE_f**: -0.544 eV per atom
**M_tot**: 1.32 μB per atom
**Electronic total energy**: -62.81 eV/f.u.
**SG**: P4_2/mnm
**V**: 12.83 A^3/atom

Unit cell a=3.6733 b=6.9941 c=6.9941 alpha=90.00 beta=90.00 gamma=90.00
Closest atoms and distances in Å follow each position.
Atoms (fractional coordinates):
Pu 0.5000 0.0000 0.0000  6 P 2.80-2.82, 12 Fe 3.09
Pu 0.0000 0.5000 0.5000  6 P 2.80-2.82, 12 Fe 3.09
Fe 0.0000 0.0861 0.3452  3 P 2.30-2.34, 6 Fe 2.48-2.56
Fe 0.0000 0.9139 0.6548  3 P 2.30-2.34, 6 Fe 2.48-2.56
Fe 0.5000 0.1548 0.5861  3 P 2.30-2.34, 6 Fe 2.48-2.56
Fe 0.5000 0.8452 0.4139  3 P 2.30-2.34, 6 Fe 2.48-2.56
Fe 0.5000 0.4139 0.8452  3 P 2.30-2.34, 6 Fe 2.48-2.56
Fe 0.5000 0.5861 0.1548  3 P 2.30-2.34, 6 Fe 2.48-2.56
Fe 0.0000 0.3452 0.0861  3 P 2.30-2.34, 6 Fe 2.48-2.56
Fe 0.0000 0.6548 0.9139  3 P 2.30-2.34, 6 Fe 2.48-2.56
P 0.0000 0.2169 0.7831  6 Fe 2.30-2.34
P 0.0000 0.7831 0.2169  6 Fe 2.30-2.34
P 0.5000 0.7169 0.7169  6 Fe 2.30-2.34
P 0.5000 0.2831 0.2831  6 Fe 2.30-2.34

Material: UTaNi10
Method: DFT, GGA-PBE
State: relaxed

**ΔE_f**: -0.135 eV per atom
**M_tot**: 0.03 μB per atom
**Electronic total energy**: -82.58 eV/f.u.
**SG**: Pmmm
**V**: 12.76 A^3/atom

Unit cell a=3.9687 b=4.7108 c=8.1874 alpha=90.00 beta=90.00 gamma=90.00
Closest atoms and distances in Å follow each position.
Atoms (fractional coordinates):
U 0.0000 0.0000 0.0000  10 Ni 2.75-3.08
Ta 0.0000 0.5000 0.5000  6 Ni 2.67-2.70
Ni 0.0000 0.0000 0.3384  7 Ni 2.38-2.65
Ni 0.0000 0.5000 0.8261  6 Ni 2.40-2.44, 1 Ta 2.67
Ni 0.0000 0.5000 0.1739  6 Ni 2.40-2.44, 1 Ta 2.67
Ni 0.0000 0.0000 0.6616  7 Ni 2.38-2.65
Ni 0.5000 0.0000 0.5000  8 Ni 2.33-2.38
Ni 0.5000 0.5000 0.0000  8 Ni 2.40-2.44
Ni 0.5000 0.2528 0.2560  8 Ni 2.33-2.41
Ni 0.5000 0.7472 0.7440  8 Ni 2.33-2.41
Ni 0.5000 0.7472 0.2560  8 Ni 2.33-2.41
Ni 0.5000 0.2528 0.7440  8 Ni 2.33-2.41

Material: ZnCo2Ni
Method: DFT, GGA-PBE
State: relaxed

**ΔE_f**: -0.043 eV per atom
**M_tot**: 0.88 μB per atom
**Electronic total energy**: -21.44 eV/f.u.
**SG**: P4mm
**V**: 11.55 A^3/atom

Unit cell a=2.5896 b=2.5896 c=6.8917 alpha=90.00 beta=90.00 gamma=90.01
Closest atoms and distances in Å follow each position.
Atoms (fractional coordinates):
Ni 0.0000 0.0000 0.4899  4 Co 2.49, 4 Zn 2.56, 4 Ni 2.59
Zn 0.5000 0.5000 0.7494  4 Ni 2.56, 4 Zn 2.59, 4 Co 2.59
Co 0.0000 0.0000 0.0160  8 Co 2.42-2.59, 4 Zn 2.59
Co 0.5000 0.5000 0.2447  8 Co 2.42-2.59, 4 Ni 2.49

Material: KTaCr
Method: DFT, GGA-PBE
State: relaxed

**Excess energy over the best structure of this formula in the dataset**: 0.0969 eV per atom
**ΔE_f**: 1.091 eV per atom
**M_tot**: 0.98 μB per atom
**Electronic total energy**: -19.30 eV/f.u.
**SG**: P3m1
**V**: 22.27 A^3/atom

Unit cell a=3.0164 b=3.0164 c=8.4780 alpha=90.00 beta=90.00 gamma=120.00
Closest atoms and distances in Å follow each position.
Atoms (fractional coordinates):
Cr 0.0000 0.0000 0.9573  3 Ta 2.71, 6 Cr 3.02
K 0.6667 0.3333 0.3308  6 K 3.02
Ta 0.3333 0.6667 0.7119  3 Cr 2.71, 6 Ta 3.02

Material: Ca2CoRu
Method: DFT, GGA-PBE
State: relaxed

**ΔE_f**: 0.519 eV per atom
**M_tot**: 0.49 μB per atom
**Electronic total energy**: -18.31 eV/f.u.
**SG**: I4/mmm
**V**: 20.26 A^3/atom

Unit cell a=5.0243 b=5.0243 c=5.0243 alpha=125.51 beta=125.48 gamma=80.72
Closest atoms and distances in Å follow each position.
Atoms (fractional coordinates):
Ru 0.2500 0.7500 0.5000  8 Ca 2.99, 4 Co 3.25
Ca 0.0000 0.0000 0.0000  4 Ru 2.99, 4 Co 2.99, 4 Ca 3.25
Ca 0.5000 0.5000 0.0000  4 Ru 2.99, 4 Co 2.99, 4 Ca 3.25
Co 0.7500 0.2500 0.5000  8 Ca 2.99, 4 Ru 3.25

Material: Mg2Si2Ni5B
Method: DFT, GGA-PBE
State: relaxed

**Energy relative to the elements, uncorrected**: -283.4 meV per atom
**M_tot**: 0.00 μB per atom
**Electronic total energy**: -52.45 eV/f.u.
**SG**: P4/mbm
**V**: 12.01 A^3/atom

Unit cell a=2.6536 b=9.5157 c=9.5157 alpha=90.00 beta=90.00 gamma=90.00
Closest atoms and distances in Å follow each position.
Atoms (fractional coordinates):
Mg 0.0000 0.6691 0.1691  1 Si 2.59, 2 Ni 2.63, 2 Mg 2.65
Mg 0.0000 0.3309 0.8309  1 Si 2.59, 2 Ni 2.63, 2 Mg 2.65
Mg 0.0000 0.1691 0.3309  1 Si 2.59, 2 Ni 2.63, 2 Mg 2.65
Mg 0.0000 0.8309 0.6691  1 Si 2.59, 2 Ni 2.63, 2 Mg 2.65
Si 0.0000 0.1385 0.6385  6 Ni 2.29-2.35
Si 0.0000 0.8615 0.3615  6 Ni 2.29-2.35
Si 0.0000 0.6385 0.8615  6 Ni 2.29-2.35
Si 0.0000 0.3615 0.1385  6 Ni 2.29-2.35
Ni 0.5000 0.1762 0.0541  2 B 2.20, 2 Si 2.35
Ni 0.5000 0.8238 0.9459  2 B 2.20, 2 Si 2.35
Ni 0.5000 0.0541 0.8238  2 B 2.20, 2 Si 2.35
Ni 0.5000 0.6762 0.4459  2 B 2.20, 2 Si 2.35
Ni 0.5000 0.9459 0.1762  2 B 2.20, 2 Si 2.35
Ni 0.5000 0.3239 0.5541  2 B 2.20, 2 Si 2.35
Ni 0.5000 0.5541 0.6762  2 B 2.20, 2 Si 2.35
Ni 0.5000 0.4459 0.3239  2 B 2.20, 2 Si 2.35
Ni 0.5000 0.5000 0.0000  4 Si 2.29
Ni 0.5000 0.0000 0.5000  4 Si 2.29
B 0.0000 0.0000 0.0000  8 Ni 2.20
B 0.0000 0.5000 0.5000  8 Ni 2.20

Material: LiPr2GaH
Method: DFT, GGA-PBE
State: relaxed

**M_tot**: 0.00 μB per atom
**Electronic total energy**: -19.92 eV/f.u.
**SG**: P4/mmm
**V**: 20.70 A^3/atom

Unit cell a=4.0042 b=5.0845 c=5.0845 alpha=90.00 beta=90.00 gamma=90.00
Closest atoms and distances in Å follow each position.
Atoms (fractional coordinates):
Li 0.5000 0.0000 0.0000  2 H 2.00
Pr 0.0000 0.0000 0.5000  2 H 2.54
Pr 0.0000 0.5000 0.0000  2 H 2.54
Ga 0.5000 0.5000 0.5000  8 Pr 3.24, 4 Li 3.60
H 0.0000 0.0000 0.0000  2 Li 2.00

> What is the M_tot in the third record?

0.03 μB per atom

> Which of these has the lowest V?

ZnCo2Ni

> What is the formula in the eighth record?

LiPr2GaH